No. 1
{
  "formula": "Mg2CoTe",
  "functional": "PBE",
  "state": "relaxed",
  "total_energy_ev_per_cell": -13.16,
  "dos_ef_per_ev_atom": 0.755,
  "density_g_cm3": 5.3,
  "formation_energy_uncorrected_ev_per_atom": 0.0691,
  "lattice_angstrom": [[-3.4472, -4.0088, -0.4083], [-0.3845, -2.0906, -4.8582], [4.0028, 1.1905, 3.2681]],
  "species": ["Co", "Mg", "Mg", "Te"],
  "fractional_positions": [[0.7500, 0.2500, 0.5000], [0.0000, 0.0000, 0.0000], [0.5000, 0.5000, 0.0000], [0.2500, 0.7500, 0.5000]]
}

***

No. 2
{
  "formula": "LiTe2SeI",
  "functional": "PBE",
  "state": "relaxed",
  "total_energy_ev_per_cell": -11.62,
  "dos_ef_per_ev_atom": 1.056,
  "density_g_cm3": 5.7,
  "formation_energy_uncorrected_ev_per_atom": 0.3230,
  "polymorph_energy_kj_per_mol_fu": 105,
  "lattice_angstrom": [[5.2288, 0.0000, 0.0000], [0.0000, 5.2288, 0.0000], [0.0000, 0.0000, 4.9948]],
  "species": ["I", "Te", "Te", "Se", "Li"],
  "fractional_positions": [[0.0000, 0.0000, 0.5000], [0.0000, 0.5000, 0.0000], [0.5000, 0.0000, 0.0000], [0.5000, 0.5000, 0.5000], [0.0000, 0.0000, 0.0000]]
}

***

No. 3
{
  "formula": "Ir2C",
  "functional": "PBE",
  "state": "relaxed",
  "total_energy_ev_per_cell": -25.07,
  "delta_e_f_ev_per_atom": 0.6269,
  "dos_ef_per_ev_atom": 1.028,
  "density_g_cm3": 18.4,
  "polymorph_energy_kj_per_mol_fu": 20,
  "lattice_angstrom": [[-3.0847, 4.4658, -0.0694], [-4.9126, 2.3085, 0.0049], [-3.6777, 3.1986, 2.3889]],
  "species": ["C", "Ir", "Ir"],
  "fractional_positions": [[0.0005, 0.0005, 0.0005], [0.7560, 0.7560, 0.7560], [0.5766, 0.5766, 0.5766]]
}